(1)
# Li3Ag3Hg2, relaxed, DFT GGA-PBE
data_Li3Ag3Hg2
_space_group_name_H-M_alt 'C 1 2/m 1'
_space_group_IT_number 12
_cell_length_a 14.0448
_cell_length_b 4.6215
_cell_length_c 4.7617
_cell_angle_alpha 90.00
_cell_angle_beta 109.53
_cell_angle_gamma 90.00
loop_
_space_group_symop_operation_xyz
'x,y,z'
'-x,-y,-z'
'-x,y,-z'
'x,-y,z'
'x+1/2,y+1/2,z'
'-x+1/2,-y+1/2,-z'
'-x+1/2,y+1/2,-z'
'x+1/2,-y+1/2,z'
loop_
_atom_site_label
_atom_site_type_symbol
_atom_site_fract_x
_atom_site_fract_y
_atom_site_fract_z
_atom_site_occupancy
Li1 Li 0.0000 0.0000 0.0000 1
Li2 Li 0.1307 0.0000 0.6315 1
Ag1 Ag 0.0000 0.5000 0.5000 1
Ag2 Ag 0.1130 0.5000 0.1116 1
Hg1 Hg 0.2495 0.0000 0.2511 1
# D(E_F) ... 0.2831 states/eV per atom
# Excess energy over the best structure of this formula in the dataset ... 0.11 kcal/mol of atoms
# ΔH_f (0 K) ... -0.181 eV/atom

***

(2)
# Nd8Pt2Pb, relaxed, DFT GGA-PBE
data_Nd8Pt2Pb
_space_group_name_H-M_alt 'C 1 2/m 1'
_space_group_IT_number 12
_cell_length_a 8.8992
_cell_length_b 13.9793
_cell_length_c 5.7233
_cell_angle_alpha 90.00
_cell_angle_beta 104.40
_cell_angle_gamma 90.00
loop_
_space_group_symop_operation_xyz
'x,y,z'
'-x,-y,-z'
'-x,y,-z'
'x,-y,z'
'x+1/2,y+1/2,z'
'-x+1/2,-y+1/2,-z'
'-x+1/2,y+1/2,-z'
'x+1/2,-y+1/2,z'
loop_
_atom_site_label
_atom_site_type_symbol
_atom_site_fract_x
_atom_site_fract_y
_atom_site_fract_z
_atom_site_occupancy
Nd1 Nd 0.0000 0.2472 0.0000 1
Nd2 Nd 0.1031 0.5000 0.8042 1
Nd3 Nd 0.2039 0.1238 0.5725 1
Pt1 Pt 0.0000 0.3010 0.5000 1
Pb1 Pb 0.0000 0.0000 0.0000 1
# D(E_F) ... 1.1205 states/eV per atom
# ΔH_f (0 K) ... -0.464 eV/atom